1.
! Zr6Zn5 | Alexandria | PBE | optimized geometry; values from VASP
&SYSTEM
  ibrav = 0, nat = 11, ntyp = 2
/
ATOMIC_SPECIES
Zr 91.22 Zr.upf
Zn 65.41 Zn.upf
ATOMIC_POSITIONS crystal
Zr 0.000 0.000 0.242
Zr 0.000 0.000 0.758
Zr 0.340 0.660 0.244
Zr 0.340 0.660 0.756
Zr 0.660 0.340 0.244
Zr 0.660 0.340 0.756
Zn 0.170 0.830 0.500
Zn 0.171 0.829 0.000
Zn 0.500 0.500 0.500
Zn 0.829 0.171 0.000
Zn 0.830 0.170 0.500
CELL_PARAMETERS angstrom
2.336 -6.966 0.000
2.336 6.966 0.000
0.000 0.000 6.646
! - space group = Cmmm, No. 65

2.
! Y4WCl | Alexandria | PBE | optimized geometry; values from VASP
&SYSTEM
  ibrav = 0, nat = 6, ntyp = 3
/
ATOMIC_SPECIES
Y 88.91 Y.upf
W 183.84 W.upf
Cl 35.45 Cl.upf
ATOMIC_POSITIONS crystal
Y 0.378 0.378 0.378
Y 0.378 0.378 0.866
Y 0.378 0.866 0.378
Y 0.866 0.378 0.378
W 0.750 0.750 0.750
Cl 0.000 0.000 0.000
CELL_PARAMETERS angstrom
0.000 4.374 4.374
4.374 0.000 4.374
4.374 4.374 0.000
! - space group = F-43m, No. 216
! - energy relative to the elements, uncorrected (eV/atom) = 0.954

3.
! ZnRuBr2 | Alexandria | PBE | optimized geometry; values from VASP
&SYSTEM
  ibrav = 0, nat = 4, ntyp = 3
/
ATOMIC_SPECIES
Zn 65.41 Zn.upf
Ru 101.07 Ru.upf
Br 79.90 Br.upf
ATOMIC_POSITIONS crystal
Zn 0.000 0.000 0.000
Ru 0.541 0.500 0.084
Br 0.375 0.500 0.757
Br 0.663 0.000 0.330
CELL_PARAMETERS angstrom
3.940 0.000 0.000
0.000 3.234 0.000
-1.926 0.000 7.577
! - space group = Pm, No. 6
! - energy relative to the elements, uncorrected (eV/atom) = -0.047

4.
! Rb2PmGaTe4 | Alexandria | PBE | optimized geometry; values from VASP
&SYSTEM
  ibrav = 0, nat = 16, ntyp = 4
/
ATOMIC_SPECIES
Rb 85.47 Rb.upf
Pm 145.00 Pm.upf
Ga 69.72 Ga.upf
Te 127.60 Te.upf
ATOMIC_POSITIONS crystal
Rb 0.000 0.000 0.000
Rb 0.000 0.000 0.500
Rb 0.000 0.500 0.000
Rb 0.500 0.000 0.500
Pm 0.000 0.500 0.500
Pm 0.500 0.000 0.000
Ga 0.500 0.500 0.000
Ga 0.500 0.500 0.500
Te 0.262 0.731 0.970
Te 0.269 0.738 0.530
Te 0.290 0.315 0.529
Te 0.315 0.290 0.029
Te 0.685 0.710 0.971
Te 0.710 0.685 0.471
Te 0.731 0.262 0.470
Te 0.738 0.269 0.030
CELL_PARAMETERS angstrom
6.544 -6.810 0.000
6.544 6.810 0.000
-6.226 0.000 6.744
! - space group = C2/c, No. 15
! - energy relative to the elements, uncorrected (eV/atom) = -0.839

How do the records compare in total magnetic moment? In the order shown, they have 0.0, 0.0, 0.0, 0.0 Bohr magnetons per cell.
How do the records compare in DFT total energy? In the order shown, they have -5.39, -5.82, -3.52, -3.62 eV per atom.